(1)
Density functional theory data (PBE) for a geometry-optimized CaSmTe2 structure.

```
CaSmTe2
1.0
6.315 0.000 0.000
0.000 6.310 -0.245
0.000 0.491 12.665
Ca Sm Te
4 4 8
Cartesian
1.578 0.184 4.748
4.737 6.617 7.673
1.578 3.216 1.462
4.737 3.585 10.958
1.580 3.462 7.796
4.736 3.340 4.624
1.580 0.430 11.079
4.736 6.371 1.341
4.737 0.429 11.063
1.578 6.372 1.358
4.737 3.463 7.813
1.578 3.338 4.608
4.735 3.215 1.439
1.580 3.586 10.982
4.735 0.185 4.772
1.580 6.616 7.649
```

Spin magnetization ... 0.000 μB per atom
E_form (uncorrected) ... -1.49 eV per atom
Polymorph energy (0 for the lowest one) ... 3 meV per atom
Calculated volume ... 31.59 Å³ per atom
SG ... I4_1/amd (141)

(2)
Density functional theory data (PBE) for a geometry-optimized Ca4Sm3Te8 structure.

```
Ca4Sm3Te8
1.0
8.952 -0.143 -0.206
-4.383 7.806 0.155
-4.383 -2.565 7.374
Ca Sm Te
4 3 8
Cartesian
4.476 -0.072 -0.103
-2.192 3.903 0.077
0.000 0.000 0.000
-2.192 -1.282 3.687
2.285 3.831 -0.026
2.285 -1.354 3.584
0.093 2.549 3.661
2.315 1.264 1.816
-4.383 5.188 1.977
-2.175 1.321 1.897
0.093 5.142 1.856
0.093 -0.044 5.466
2.362 3.777 5.425
-4.383 0.053 5.551
-2.128 3.833 5.507
```

Spin magnetization ... 0.000 μB per atom
E_form (uncorrected) ... -1.52 eV per atom
Polymorph energy (0 for the lowest one) ... 0 meV per atom
Calculated volume ... 33.66 Å³ per atom
SG ... C2/m (12)

(3)
Density functional theory data (PBE) for a geometry-optimized CaSmTe structure.

```
CaSmTe
1.0
-5.195 -2.390 1.085
1.101 -0.684 3.766
-1.146 9.566 -0.034
Ca Sm Te
2 2 2
Cartesian
-3.671 1.504 1.347
-1.569 4.988 3.471
-3.347 -2.135 2.697
-0.747 -0.939 2.154
-0.467 2.217 2.646
-4.773 4.276 2.173
```

Spin magnetization ... 0.119 μB per atom
E_form (uncorrected) ... -0.62 eV per atom
Calculated volume ... 34.65 Å³ per atom
SG ... Immm (71)

(4)
Density functional theory data (PBE) for a geometry-optimized CaSmTe2 structure.

```
CaSmTe2
1.0
-2.924 3.133 1.117
-3.458 0.843 -2.636
-6.155 -3.739 3.155
Ca Sm Te
1 1 2
Cartesian
-6.268 0.119 0.818
0.000 0.000 0.000
-3.141 0.051 0.415
-9.396 0.186 1.221
```

Spin magnetization ... 0.000 μB per atom
E_form (uncorrected) ... -1.50 eV per atom
Polymorph energy (0 for the lowest one) ... 0 meV per atom
Calculated volume ... 31.58 Å³ per atom
SG ... R-3m (166)

(5)
Density functional theory data (PBE) for a geometry-optimized Ca3Sm5Te8 structure.

```
Ca3Sm5Te8
1.0
7.709 0.000 4.416
2.590 7.261 4.416
-0.014 -0.010 8.962
Ca Sm Te
3 5 8
Cartesian
3.848 -0.005 6.689
-0.007 -0.005 4.481
1.288 3.626 6.689
3.855 0.000 2.208
5.150 3.631 4.416
0.000 0.000 0.000
1.295 3.631 2.208
5.143 3.626 8.897
2.564 1.808 8.912
3.864 5.453 11.129
6.434 1.808 11.129
7.720 5.443 13.334
7.722 5.444 8.882
6.421 1.798 6.665
3.851 5.444 6.665
2.565 1.809 4.459
```

Spin magnetization ... 0.000 μB per atom
E_form (uncorrected) ... -1.47 eV per atom
Calculated volume ... 31.40 Å³ per atom
SG ... R-3m (166)

(6)
Density functional theory data (PBE) for a geometry-optimized Ca3Sm2ThTe6 structure.

```
Ca3Sm2ThTe6
1.0
4.395 0.000 0.000
0.000 9.090 0.120
-2.198 -2.833 9.462
Ca Sm Th Te
3 2 1 6
Cartesian
2.198 4.545 0.060
2.198 -0.310 6.319
0.000 6.567 3.263
2.198 4.268 6.507
0.000 1.989 3.074
2.198 0.000 0.000
0.000 6.523 6.386
2.198 4.291 3.269
2.198 -0.266 3.196
2.198 -0.505 9.429
0.000 6.762 0.153
0.000 1.966 6.312
```

Spin magnetization ... 0.000 μB per atom
E_form (uncorrected) ... -1.41 eV per atom
Calculated volume ... 31.63 Å³ per atom
SG ... C2/m (12)

(7)
Density functional theory data (PBE) for a geometry-optimized CaSm2Tm3Te6 structure.

```
CaSm2Tm3Te6
1.0
-0.298 1.401 4.117
5.044 -6.712 2.649
6.434 6.282 -3.980
Ca Sm Tm Te
1 2 3 6
Cartesian
-0.149 0.700 2.058
7.252 0.866 2.538
3.927 0.104 0.249
2.373 -2.656 3.383
4.876 4.167 1.242
6.303 -3.197 1.544
8.841 -1.562 1.171
4.845 -1.016 3.004
2.338 2.532 1.615
7.407 5.960 0.815
3.772 -4.990 1.971
6.335 1.986 -0.217
```

Spin magnetization ... 0.000 μB per atom
E_form (uncorrected) ... -1.33 eV per atom
Calculated volume ... 29.77 Å³ per atom
SG ... C2/m (12)

(8)
Density functional theory data (PBE) for a geometry-optimized CaSmTm2Te4 structure.

```
CaSmTm2Te4
1.0
-3.429 2.448 1.092
-2.989 -5.885 3.807
4.377 4.028 4.713
Ca Sm Tm Te
1 1 2 4
Cartesian
-3.209 -1.718 2.450
0.000 0.000 0.000
0.474 3.238 2.902
0.694 -0.928 4.260
-1.337 0.770 2.747
-0.703 -0.179 6.865
2.497 1.520 4.433
-1.109 -3.376 4.087
```

Spin magnetization ... 0.000 μB per atom
E_form (uncorrected) ... -1.34 eV per atom
Calculated volume ... 29.74 Å³ per atom
SG ... P2/m (10)

(9)
Density functional theory data (PBE) for a geometry-optimized Ca3Sm3TmTe8 structure.

```
Ca3Sm3TmTe8
1.0
8.846 0.000 0.000
-4.423 7.663 -0.028
0.000 -5.082 7.405
Ca Sm Tm Te
3 3 1 8
Cartesian
0.000 0.000 0.000
-2.211 3.831 -0.014
2.211 3.831 -0.014
4.423 -2.541 3.703
2.211 1.290 3.689
-2.211 1.290 3.689
0.000 -2.541 3.703
0.000 2.560 1.829
4.423 0.020 5.548
4.423 2.595 1.875
0.000 -0.015 5.503
6.669 -1.289 1.891
-2.246 3.870 5.486
2.177 -1.289 1.891
2.246 3.870 5.486
```

Spin magnetization ... 0.000 μB per atom
E_form (uncorrected) ... -1.50 eV per atom
Calculated volume ... 33.38 Å³ per atom
SG ... R-3m (166)

(10)
Density functional theory data (PBE) for a geometry-optimized Ca4Sm3TmTe8 structure.

```
Ca4Sm3TmTe8
1.0
8.835 0.000 0.000
0.000 8.974 0.091
-4.418 -4.414 6.251
Ca Sm Tm Te
4 3 1 8
Cartesian
4.418 0.000 0.000
2.209 -2.207 3.126
0.000 0.000 0.000
-2.209 -2.207 3.126
4.418 4.487 0.045
2.209 2.280 3.171
-2.209 2.280 3.171
0.000 4.487 0.045
2.168 6.702 0.077
0.000 4.536 3.144
0.000 0.024 3.138
6.667 6.702 0.077
-2.250 -2.142 6.265
4.418 4.536 3.204
4.418 0.024 3.198
2.250 -2.142 6.265
```

Spin magnetization ... 0.000 μB per atom
E_form (uncorrected) ... -1.47 eV per atom
Calculated volume ... 31.20 Å³ per atom
SG ... R-3m (166)

(11)
Density functional theory data (PBE) for a geometry-optimized Ca2SmTmTe4 structure.

```
Ca2SmTmTe4
1.0
4.399 0.000 0.000
0.000 7.628 0.132
0.000 -2.667 7.299
Ca Sm Tm Te
2 1 1 4
Cartesian
2.200 -1.333 3.649
0.000 2.481 3.715
2.200 3.814 0.066
0.000 0.000 0.000
2.200 1.195 1.811
2.200 3.766 5.620
0.000 -0.141 5.519
0.000 5.102 1.912
```

Spin magnetization ... 0.000 μB per atom
E_form (uncorrected) ... -1.45 eV per atom
Calculated volume ... 30.81 Å³ per atom
SG ... P2/m (10)

(12)
Density functional theory data (PBE) for a geometry-optimized CaSm2TmTe4 structure.

```
CaSm2TmTe4
1.0
4.374 0.000 0.000
0.000 7.602 0.148
0.000 -2.642 7.274
Ca Sm Tm Te
1 2 1 4
Cartesian
0.000 0.000 0.000
2.187 -1.321 3.637
0.000 2.480 3.711
2.187 3.801 0.074
2.187 1.272 1.806
2.187 3.688 5.616
0.000 -0.058 5.566
0.000 5.017 1.855
```

Spin magnetization ... 0.000 μB per atom
E_form (uncorrected) ... -1.39 eV per atom
Calculated volume ... 30.44 Å³ per atom
SG ... P2/m (10)

(13)
Density functional theory data (PBE) for a geometry-optimized Ca3SmY3Te8 structure.

```
Ca3SmY3Te8
1.0
8.781 0.000 0.000
-4.390 7.605 -0.027
0.000 -5.044 7.354
Ca Sm Y Te
3 1 3 8
Cartesian
0.000 0.000 0.000
-2.195 3.803 -0.014
2.195 3.803 -0.014
0.000 -2.522 3.677
4.390 -2.522 3.677
2.195 1.281 3.663
-2.195 1.281 3.663
0.000 2.539 1.861
4.390 0.022 5.466
4.390 2.477 1.834
0.000 0.084 5.492
6.531 -1.230 1.854
-2.140 3.791 5.472
2.250 -1.230 1.854
2.140 3.791 5.472
```

Spin magnetization ... 0.000 μB per atom
E_form (uncorrected) ... -1.50 eV per atom
Calculated volume ... 32.66 Å³ per atom
SG ... R-3m (166)

(14)
Density functional theory data (PBE) for a geometry-optimized Ca3SmY2Te6 structure.

```
Ca3SmY2Te6
1.0
-4.117 0.406 1.519
-1.028 -8.886 -0.409
5.528 1.467 8.196
Ca Sm Y Te
3 1 2 6
Cartesian
-2.572 -4.240 0.555
0.091 -0.173 6.685
0.292 -6.840 2.621
-2.058 0.203 0.759
-0.418 -4.651 6.504
0.801 -2.362 2.803
1.364 -7.019 5.573
-1.479 -4.373 3.552
-0.980 0.006 3.734
-0.256 -2.246 -0.093
0.639 -4.767 9.400
1.863 -2.640 5.754
```

Spin magnetization ... 0.000 μB per atom
E_form (uncorrected) ... -1.48 eV per atom
Calculated volume ... 31.02 Å³ per atom
SG ... C2/m (12)

(15)
Density functional theory data (PBE) for a geometry-optimized CaSm2Y3Te6 structure.

```
CaSm2Y3Te6
1.0
4.402 0.000 0.000
0.000 8.847 0.301
-2.201 -2.569 9.286
Ca Sm Y Te
1 2 3 6
Cartesian
2.201 0.000 0.000
2.201 4.124 6.279
0.000 2.154 3.307
2.201 4.423 0.150
2.201 -0.168 6.202
0.000 6.446 3.384
0.000 6.444 6.472
2.201 4.349 3.190
2.201 -0.166 3.114
2.201 -0.343 9.360
0.000 6.621 0.226
0.000 1.929 6.397
```

Spin magnetization ... 0.000 μB per atom
E_form (uncorrected) ... -1.39 eV per atom
Calculated volume ... 30.42 Å³ per atom
SG ... C2/m (12)

(16)
Density functional theory data (PBE) for a geometry-optimized CaSm2YTe4 structure.

```
CaSm2YTe4
1.0
-2.543 -1.064 -3.430
1.081 -7.491 1.522
-5.485 -2.386 4.806
Ca Sm Y Te
1 2 1 4
Cartesian
-6.215 -6.663 3.851
-5.485 -2.386 4.806
-4.014 -1.725 0.688
-2.202 -4.938 3.164
-3.308 -7.373 4.739
-3.638 -3.567 -1.842
-1.853 -6.707 0.631
-5.093 -4.233 2.266
```

Spin magnetization ... 0.000 μB per atom
E_form (uncorrected) ... -1.42 eV per atom
Calculated volume ... 30.81 Å³ per atom
SG ... P2/m (10)

(17)
Density functional theory data (PBE) for a geometry-optimized Ca4Sm3YTe8 structure.

```
Ca4Sm3YTe8
1.0
8.843 0.000 0.000
0.000 8.995 0.100
-4.422 -4.418 6.257
Ca Sm Y Te
4 3 1 8
Cartesian
4.422 0.000 0.000
2.211 -2.209 3.128
0.000 0.000 0.000
-2.211 -2.209 3.128
4.422 4.498 0.050
2.211 2.289 3.179
-2.211 2.289 3.179
0.000 4.498 0.050
2.191 6.736 0.084
0.000 4.549 3.178
0.000 0.031 3.144
6.653 6.736 0.084
-2.231 -2.159 6.273
4.422 4.547 3.214
4.422 0.028 3.179
2.231 -2.159 6.273
```

Spin magnetization ... 0.000 μB per atom
E_form (uncorrected) ... -1.49 eV per atom
Calculated volume ... 31.35 Å³ per atom
SG ... R-3m (166)

(18)
Density functional theory data (PBE) for a geometry-optimized CaSm4Y3Te8 structure.

```
CaSm4Y3Te8
1.0
-0.888 -0.182 8.768
6.110 -6.405 0.486
1.909 7.575 -4.080
Ca Sm Y Te
1 4 3 8
Cartesian
3.055 -3.203 0.243
-0.444 -0.091 4.384
0.511 3.697 2.344
0.000 0.000 0.000
0.955 3.788 -2.040
2.611 -3.293 4.627
3.566 0.494 2.587
4.010 0.585 -1.797
6.224 2.732 -1.524
5.275 -1.044 0.513
2.309 2.132 0.278
5.781 2.641 2.851
1.351 -1.653 2.322
4.822 -1.144 4.895
1.857 2.032 4.661
0.908 -1.743 6.698
```

Spin magnetization ... 0.000 μB per atom
E_form (uncorrected) ... -1.38 eV per atom
Calculated volume ... 30.53 Å³ per atom
SG ... R-3m (166)

(19)
Density functional theory data (PBE) for a geometry-optimized Ca3Sm2YTe6 structure.

```
Ca3Sm2YTe6
1.0
7.656 0.003 0.000
-3.824 6.633 0.000
-1.279 -2.214 7.396
Ca Sm Y Te
3 2 1 6
Cartesian
-2.528 4.409 3.698
5.082 0.014 3.698
1.277 2.211 3.698
0.014 4.417 0.000
3.819 2.219 0.000
0.000 0.000 0.000
3.815 2.241 5.554
2.573 4.455 1.854
-1.261 2.181 1.842
0.035 4.424 5.554
-0.019 -0.033 5.542
2.520 -0.002 1.842
```

Spin magnetization ... 0.000 μB per atom
E_form (uncorrected) ... -1.49 eV per atom
Calculated volume ... 31.31 Å³ per atom
SG ... C2/m (12)